{
  "formula": "TiVO3",
  "functional": "GGA-PBEsol",
  "state": "optimized geometry",
  "lattice": [[2.481, 1.432, 4.641], [-2.481, 1.432, 4.641], [0.000, -2.865, 4.641]],
  "species": ["Ti", "Ti", "V", "V", "O", "O", "O", "O", "O", "O"],
  "fractional_positions": [[0.154, 0.154, 0.154], [0.846, 0.846, 0.846], [0.342, 0.342, 0.342], [0.658, 0.658, 0.658], [0.066, 0.751, 0.433], [0.249, 0.567, 0.934], [0.433, 0.066, 0.751], [0.567, 0.934, 0.249], [0.751, 0.433, 0.066], [0.934, 0.249, 0.567]],
  "total_energy_ev_per_atom": -9.3546,
  "total_magnetization_mub_per_cell": 2.338
}


{
  "formula": "Ti3W2O12",
  "functional": "GGA-PBEsol",
  "state": "optimized geometry",
  "lattice": [[9.278, 0.000, 0.000], [0.000, 9.350, 0.000], [-9.275, 0.000, 12.999]],
  "species": ["Ti", "Ti", "Ti", "Ti", "Ti", "Ti", "Ti", "Ti", "Ti", "Ti", "Ti", "Ti", "W", "W", "W", "W", "W", "W", "W", "W", "O", "O", "O", "O", "O", "O", "O", "O", "O", "O", "O", "O", "O", "O", "O", "O", "O", "O", "O", "O", "O", "O", "O", "O", "O", "O", "O", "O", "O", "O", "O", "O", "O", "O", "O", "O", "O", "O", "O", "O", "O", "O", "O", "O", "O", "O", "O", "O"],
  "fractional_positions": [[0.026, 0.250, 0.000], [0.026, 0.250, 0.500], [0.250, 0.613, 0.358], [0.250, 0.887, 0.858], [0.467, 0.113, 0.358], [0.467, 0.387, 0.858], [0.533, 0.613, 0.142], [0.533, 0.887, 0.642], [0.750, 0.113, 0.142], [0.750, 0.387, 0.642], [0.974, 0.750, 0.000], [0.974, 0.750, 0.500], [0.129, 0.532, 0.881], [0.129, 0.968, 0.381], [0.368, 0.532, 0.619], [0.368, 0.968, 0.119], [0.632, 0.032, 0.881], [0.632, 0.468, 0.381], [0.871, 0.032, 0.619], [0.871, 0.468, 0.119], [0.002, 0.156, 0.590], [0.002, 0.344, 0.090], [0.067, 0.505, 0.254], [0.067, 0.995, 0.754], [0.071, 0.125, 0.431], [0.071, 0.375, 0.931], [0.178, 0.656, 0.589], [0.178, 0.844, 0.089], [0.193, 0.698, 0.839], [0.193, 0.802, 0.339], [0.209, 0.125, 0.069], [0.209, 0.375, 0.569], [0.277, 0.082, 0.362], [0.277, 0.418, 0.862], [0.293, 0.564, 0.478], [0.293, 0.936, 0.978], [0.336, 0.564, 0.022], [0.336, 0.936, 0.522], [0.439, 0.005, 0.254], [0.439, 0.495, 0.754], [0.446, 0.582, 0.361], [0.446, 0.918, 0.861], [0.485, 0.199, 0.839], [0.485, 0.301, 0.339], [0.515, 0.699, 0.661], [0.515, 0.801, 0.161], [0.554, 0.082, 0.139], [0.554, 0.418, 0.639], [0.561, 0.505, 0.246], [0.561, 0.995, 0.746], [0.664, 0.064, 0.478], [0.664, 0.436, 0.978], [0.707, 0.064, 0.022], [0.707, 0.436, 0.522], [0.723, 0.582, 0.138], [0.723, 0.918, 0.638], [0.791, 0.625, 0.431], [0.791, 0.875, 0.931], [0.807, 0.198, 0.661], [0.807, 0.302, 0.161], [0.822, 0.156, 0.911], [0.822, 0.344, 0.411], [0.929, 0.625, 0.069], [0.929, 0.875, 0.569], [0.933, 0.005, 0.246], [0.933, 0.495, 0.746], [0.998, 0.656, 0.910], [0.998, 0.844, 0.410]],
  "total_energy_ev_per_atom": -9.3291,
  "total_magnetization_mub_per_cell": 0.000
}


{
  "formula": "Y2Ti3O9",
  "functional": "GGA-PBEsol",
  "state": "optimized geometry",
  "lattice": [[16.374, 0.000, 0.000], [0.000, 7.594, 0.000], [0.000, 0.000, 5.235]],
  "species": ["Y", "Y", "Y", "Y", "Y", "Y", "Y", "Y", "Ti", "Ti", "Ti", "Ti", "Ti", "Ti", "Ti", "Ti", "Ti", "Ti", "Ti", "Ti", "O", "O", "O", "O", "O", "O", "O", "O", "O", "O", "O", "O", "O", "O", "O", "O", "O", "O", "O", "O", "O", "O", "O", "O", "O", "O", "O", "O", "O", "O", "O", "O", "O", "O", "O", "O"],
  "fractional_positions": [[0.017, 0.250, 0.010], [0.188, 0.250, 0.484], [0.312, 0.750, 0.984], [0.483, 0.750, 0.510], [0.517, 0.250, 0.490], [0.688, 0.250, 0.016], [0.812, 0.750, 0.516], [0.983, 0.750, 0.990], [0.000, 0.000, 0.500], [0.000, 0.500, 0.500], [0.165, 0.507, 0.997], [0.165, 0.993, 0.997], [0.335, 0.007, 0.497], [0.335, 0.493, 0.497], [0.500, 0.000, 0.000], [0.500, 0.500, 0.000], [0.665, 0.507, 0.503], [0.665, 0.993, 0.503], [0.835, 0.007, 0.003], [0.835, 0.493, 0.003], [0.009, 0.750, 0.412], [0.061, 0.531, 0.816], [0.061, 0.969, 0.816], [0.097, 0.068, 0.294], [0.097, 0.432, 0.294], [0.154, 0.250, 0.894], [0.170, 0.750, 0.061], [0.242, 0.533, 0.727], [0.242, 0.967, 0.727], [0.258, 0.033, 0.227], [0.258, 0.467, 0.227], [0.330, 0.250, 0.561], [0.346, 0.750, 0.394], [0.403, 0.568, 0.794], [0.403, 0.932, 0.794], [0.439, 0.031, 0.316], [0.439, 0.469, 0.316], [0.491, 0.250, 0.912], [0.509, 0.750, 0.088], [0.561, 0.531, 0.684], [0.561, 0.969, 0.684], [0.597, 0.068, 0.206], [0.597, 0.432, 0.206], [0.654, 0.250, 0.606], [0.670, 0.750, 0.439], [0.742, 0.533, 0.773], [0.742, 0.967, 0.773], [0.758, 0.033, 0.273], [0.758, 0.467, 0.273], [0.830, 0.250, 0.939], [0.846, 0.750, 0.106], [0.903, 0.568, 0.706], [0.903, 0.932, 0.706], [0.939, 0.031, 0.184], [0.939, 0.469, 0.184], [0.991, 0.250, 0.588]],
  "total_energy_ev_per_atom": -9.4140,
  "total_magnetization_mub_per_cell": 0.002
}


{
  "formula": "Y2Ti2O7",
  "functional": "GGA-PBEsol",
  "state": "optimized geometry",
  "lattice": [[0.000, 5.027, 5.027], [5.027, 0.000, 5.027], [5.027, 5.027, 0.000]],
  "species": ["Y", "Y", "Y", "Y", "Ti", "Ti", "Ti", "Ti", "O", "O", "O", "O", "O", "O", "O", "O", "O", "O", "O", "O", "O", "O"],
  "fractional_positions": [[0.000, 0.000, 0.000], [0.000, 0.000, 0.500], [0.000, 0.500, 0.000], [0.500, 0.000, 0.000], [0.000, 0.500, 0.500], [0.500, 0.000, 0.500], [0.500, 0.500, 0.000], [0.500, 0.500, 0.500], [0.125, 0.125, 0.125], [0.169, 0.169, 0.581], [0.169, 0.581, 0.169], [0.169, 0.581, 0.581], [0.419, 0.419, 0.831], [0.419, 0.831, 0.419], [0.419, 0.831, 0.831], [0.581, 0.169, 0.169], [0.581, 0.169, 0.581], [0.581, 0.581, 0.169], [0.831, 0.419, 0.419], [0.831, 0.419, 0.831], [0.831, 0.831, 0.419], [0.875, 0.875, 0.875]],
  "total_energy_ev_per_atom": -9.4743,
  "total_magnetization_mub_per_cell": 0.000
}


- Which formula does entry 3 have?
  Y2Ti3O9